# TcPb4

A relaxed structure of TcPb4 (PBE-GGA, Alexandria).

The total energy comes out at -4.50 eV per atom. For the formation energy from the elements, the calculation gives 539 meV/atom. Its energy above the most stable polymorph in this dataset is 0.1021 eV per atom. Its total magnetic moment is 1.36 μB/f.u.

Geometry as CIF:
```
data_TcPb4
_cell_length_a 7.088
_cell_length_b 7.088
_cell_length_c 5.252
_cell_angle_alpha 90.00
_cell_angle_beta 90.00
_cell_angle_gamma 90.00
_space_group_name_H-M_alt 'I 4/m'
_space_group_IT_number 87
_space_group_name_Hall '-I 4'
loop_
_atom_site_label
_atom_site_type_symbol
_atom_site_fract_x
_atom_site_fract_y
_atom_site_fract_z
Tc1 Tc 0.000 0.000 0.000
Pb1 Pb 0.131 0.299 0.500
```



# KP3Pt

A relaxed structure of KP3Pt (PBE-GGA, Alexandria).

The total energy comes out at -2.22 eV per atom. For the formation energy from the elements, the calculation gives 2452 meV/atom. Its energy above the most stable polymorph in this dataset is 2.0040 eV per atom. Its total magnetic moment is 0.99 μB/f.u.

Geometry as CIF:
```
data_KP3Pt
_cell_length_a 5.039
_cell_length_b 5.039
_cell_length_c 5.039
_cell_angle_alpha 90.00
_cell_angle_beta 90.00
_cell_angle_gamma 90.00
_space_group_name_H-M_alt 'P m -3 m'
_space_group_IT_number 221
_space_group_name_Hall '-P 4 2 3'
loop_
_atom_site_label
_atom_site_type_symbol
_atom_site_fract_x
_atom_site_fract_y
_atom_site_fract_z
K1 K 0.000 0.000 0.000
P1 P 0.000 0.000 0.500
Pt1 Pt 0.500 0.500 0.500
```



# ZrScRh2

A relaxed structure of ZrScRh2 (PBE-GGA, Alexandria).

The total energy comes out at -8.29 eV per atom. For the formation energy from the elements, the calculation gives -892 meV/atom. Its total magnetic moment is 0.00 μB/f.u.

Geometry as CIF:
```
data_ZrScRh2
_cell_length_a 6.466
_cell_length_b 6.487
_cell_length_c 3.333
_cell_angle_alpha 90.00
_cell_angle_beta 90.00
_cell_angle_gamma 90.00
_space_group_name_H-M_alt 'C m m m'
_space_group_IT_number 65
_space_group_name_Hall '-C 2 2'
loop_
_atom_site_label
_atom_site_type_symbol
_atom_site_fract_x
_atom_site_fract_y
_atom_site_fract_z
Zr1 Zr 0.000 0.000 0.000
Sc1 Sc 0.000 0.500 0.000
Rh1 Rh 0.250 0.250 0.500
```



Please write out number 3 again, unchanged.
# ZrScRh2

A relaxed structure of ZrScRh2 (PBE-GGA, Alexandria).

The total energy comes out at -8.29 eV per atom. For the formation energy from the elements, the calculation gives -892 meV/atom. Its total magnetic moment is 0.00 μB/f.u.

Geometry as CIF:
```
data_ZrScRh2
_cell_length_a 6.466
_cell_length_b 6.487
_cell_length_c 3.333
_cell_angle_alpha 90.00
_cell_angle_beta 90.00
_cell_angle_gamma 90.00
_space_group_name_H-M_alt 'C m m m'
_space_group_IT_number 65
_space_group_name_Hall '-C 2 2'
loop_
_atom_site_label
_atom_site_type_symbol
_atom_site_fract_x
_atom_site_fract_y
_atom_site_fract_z
Zr1 Zr 0.000 0.000 0.000
Sc1 Sc 0.000 0.500 0.000
Rh1 Rh 0.250 0.250 0.500
```